No. 1
## La2Nd8Ga (PBE)

Data for La2Nd8Ga after structural relaxation.

a b c (Å): 5.6007 7.8156 9.4893
angles (deg): 109.04 107.16 90.00
Atoms (fractional coordinates):
La (0.8151, 0.3382, 0.6302)
La (0.1849, 0.6618, 0.3698)
Nd (0.4032, 0.5847, 0.8064)
Nd (0.6579, 0.9301, 0.3158)
Nd (0.8182, 0.7692, 0.6365)
Nd (0.9839, 0.2206, 0.9679)
Nd (0.1818, 0.2308, 0.3635)
Nd (0.3421, 0.0699, 0.6842)
Nd (0.5968, 0.4153, 0.1936)
Nd (0.0161, 0.7794, 0.0321)
Ga (0.5000, 0.0000, 0.0000)

Summary:
- ΔE_f: 0.0 eV per formula unit
- Electronic total energy: -51.06 eV/f.u.
- Total magnetic moment: 0.00 μB/f.u.

=====

No. 2
## La2Nd3Ga4 (PBE)

Data for La2Nd3Ga4 after structural relaxation.

a b c (Å): 7.2677 8.9081 8.7387
angles (deg): 90.00 114.57 90.00
Atoms (fractional coordinates):
La (0.1059, 0.5679, 0.2118)
La (0.8941, 0.4321, 0.7882)
La (0.3941, 0.0679, 0.7882)
La (0.6059, 0.9321, 0.2118)
Nd (0.0000, 0.0000, 0.0000)
Nd (0.5000, 0.5000, 0.0000)
Nd (0.5288, 0.7500, 0.5577)
Nd (0.9712, 0.2500, 0.4423)
Nd (0.4712, 0.2500, 0.4423)
Nd (0.0288, 0.7500, 0.5577)
Ga (0.7196, 0.7500, 0.9392)
Ga (0.7804, 0.2500, 0.0608)
Ga (0.2804, 0.2500, 0.0608)
Ga (0.2196, 0.7500, 0.9392)
Ga (0.1884, 0.9696, 0.3767)
Ga (0.8116, 0.0304, 0.6233)
Ga (0.3116, 0.4696, 0.6233)
Ga (0.6884, 0.5304, 0.3767)

Summary:
- ΔE_f: -3.7 eV per formula unit
- Electronic total energy: -39.96 eV/f.u.
- Total magnetic moment: 0.00 μB/f.u.
- Relative energy among the computed polymorphs: 119 meV/atom

=====

No. 3
## LaNdGa (PBE)

Data for LaNdGa after structural relaxation.

a b c (Å): 3.8995 5.0192 5.0192
angles (deg): 120.00 90.00 90.00
Atoms (fractional coordinates):
Nd (0.9563, 0.0000, 0.0000)
Ga (0.6909, 0.6667, 0.3333)
La (0.3528, 0.3333, 0.6667)

Summary:
- ΔE_f: -0.9 eV per formula unit
- Electronic total energy: -13.62 eV/f.u.
- Total magnetic moment: 0.00 μB/f.u.
- Relative energy among the computed polymorphs: 113 meV/atom

=====

No. 4
## La2Nd3Ga3 (PBE)

Data for La2Nd3Ga3 after structural relaxation.

a b c (Å): 3.7817 5.2687 11.8073
angles (deg): 102.89 99.22 90.00
Atoms (fractional coordinates):
La (0.7267, 0.2267, 0.4534)
La (0.2733, 0.7733, 0.5466)
Nd (0.6130, 0.6130, 0.2260)
Nd (0.3870, 0.3870, 0.7740)
Nd (0.5000, 0.0000, 0.0000)
Ga (0.1154, 0.1154, 0.2308)
Ga (0.0000, 0.5000, 0.0000)
Ga (0.8846, 0.8846, 0.7692)

Summary:
- ΔE_f: -3.2 eV per formula unit
- Electronic total energy: -36.42 eV/f.u.
- Total magnetic moment: 0.00 μB/f.u.

=====

No. 5
## La3Nd12Ga5 (PBE)

Data for La3Nd12Ga5 after structural relaxation.

a b c (Å): 15.8210 15.8210 15.8210
angles (deg): 109.47 109.47 109.47
Each line ends with the local moment (μB).
Atoms (fractional coordinates):
La (0.7500, 0.3750, 0.1250)  0.06
La (0.8750, 0.7500, 0.1250)  0.06
La (0.3750, 0.7500, 0.6250)  0.06
La (0.2500, 0.1250, 0.3750)  0.06
La (0.8750, 0.1250, 0.2500)  0.06
La (0.3750, 0.6250, 0.2500)  0.06
La (0.6250, 0.3750, 0.7500)  0.06
La (0.1250, 0.8750, 0.7500)  0.06
La (0.7500, 0.8750, 0.6250)  0.06
La (0.6250, 0.2500, 0.3750)  0.06
La (0.1250, 0.2500, 0.8750)  0.06
La (0.2500, 0.6250, 0.8750)  0.06
Ga (0.1250, 0.3750, 0.2500)  -0.01
Ga (0.0000, 0.5000, 0.0000)  0.01
Ga (0.0000, 0.0000, 0.0000)  0.01
Ga (0.3750, 0.2500, 0.1250)  -0.01
Ga (0.5000, 0.0000, 0.5000)  0.01
Ga (0.5000, 0.5000, 0.0000)  0.01
Ga (0.1250, 0.7500, 0.3750)  -0.01
Ga (0.7500, 0.1250, 0.8750)  -0.01
Ga (0.7500, 0.6250, 0.3750)  -0.01
Ga (0.3750, 0.1250, 0.7500)  -0.01
Ga (0.6250, 0.8750, 0.2500)  -0.01
Ga (0.5000, 0.5000, 0.5000)  0.01
Ga (0.5000, 0.0000, 0.0000)  0.01
Ga (0.0000, 0.0000, 0.5000)  0.01
Ga (0.2500, 0.3750, 0.6250)  -0.01
Ga (0.2500, 0.8750, 0.1250)  -0.01
Ga (0.0000, 0.5000, 0.5000)  0.01
Ga (0.8750, 0.2500, 0.6250)  -0.01
Ga (0.6250, 0.7500, 0.8750)  -0.01
Ga (0.8750, 0.6250, 0.7500)  -0.01
Nd (0.7089, 0.1086, 0.0331)  0.02
Nd (0.3242, 0.5331, 0.4245)  0.02
Nd (0.9669, 0.3914, 0.2911)  0.02
Nd (0.5331, 0.2089, 0.1086)  0.02
Nd (0.6003, 0.7089, 0.6758)  0.02
Nd (0.9669, 0.5755, 0.1758)  0.02
Nd (0.3242, 0.7911, 0.3997)  0.02
Nd (0.0755, 0.8997, 0.1086)  0.02
Nd (0.5755, 0.9669, 0.6758)  0.02
Nd (0.7089, 0.6003, 0.1758)  0.02
Nd (0.7911, 0.4669, 0.3914)  0.02
Nd (0.8242, 0.9245, 0.0331)  0.02
Nd (0.1086, 0.7089, 0.5331)  0.02
Nd (0.3914, 0.4245, 0.1003)  0.02
Nd (0.1003, 0.9245, 0.3914)  0.02
Nd (0.3997, 0.1086, 0.5755)  0.02
Nd (0.1003, 0.1758, 0.2089)  0.02
Nd (0.4669, 0.6758, 0.0755)  0.02
Nd (0.8242, 0.8997, 0.2911)  0.02
Nd (0.1086, 0.3997, 0.0755)  0.02
Nd (0.3914, 0.9669, 0.7911)  0.02
Nd (0.5755, 0.6086, 0.3997)  0.02
Nd (0.9245, 0.8242, 0.5331)  0.02
Nd (0.7911, 0.3242, 0.8997)  0.02
Nd (0.4245, 0.3914, 0.6003)  0.02
Nd (0.0755, 0.1758, 0.4669)  0.02
Nd (0.2089, 0.6758, 0.1003)  0.02
Nd (0.1758, 0.1003, 0.7089)  0.02
Nd (0.6086, 0.0331, 0.2089)  0.02
Nd (0.8914, 0.6003, 0.9245)  0.02
Nd (0.5331, 0.3242, 0.9245)  0.02
Nd (0.6003, 0.8914, 0.4245)  0.02
Nd (0.8997, 0.8242, 0.7911)  0.02
Nd (0.8997, 0.0755, 0.6086)  0.02
Nd (0.8914, 0.2911, 0.4669)  0.02
Nd (0.1758, 0.0755, 0.9669)  0.02
Nd (0.6086, 0.5755, 0.8997)  0.02
Nd (0.4245, 0.0331, 0.3242)  0.02
Nd (0.2911, 0.3997, 0.8242)  0.02
Nd (0.2089, 0.5331, 0.6086)  0.02
Nd (0.9245, 0.1003, 0.8914)  0.02
Nd (0.6758, 0.2089, 0.6003)  0.02
Nd (0.4669, 0.7911, 0.8914)  0.02
Nd (0.0331, 0.4245, 0.8242)  0.02
Nd (0.3997, 0.2911, 0.3242)  0.02
Nd (0.0331, 0.6086, 0.7089)  0.02
Nd (0.6758, 0.4669, 0.5755)  0.02
Nd (0.2911, 0.8914, 0.9669)  0.02

Summary:
- ΔE_f: 6.6 eV per formula unit
- Electronic total energy: -80.58 eV/f.u.
- Total magnetic moment: 0.77 μB/f.u.

=====

No. 6
## LaNd2Ga6 (PBE)

Data for LaNd2Ga6 after structural relaxation.

a b c (Å): 4.4791 7.9610 7.9610
angles (deg): 54.91 73.66 73.66
Atoms (fractional coordinates):
La (0.0000, 0.0000, 0.0000)
Nd (0.8696, 0.6304, 0.6304)
Nd (0.1304, 0.3696, 0.3696)
Ga (0.6786, 0.0135, 0.6293)
Ga (0.3214, 0.9865, 0.3707)
Ga (0.3214, 0.3707, 0.9865)
Ga (0.5000, 0.6797, 0.3203)
Ga (0.5000, 0.3203, 0.6797)
Ga (0.6786, 0.6293, 0.0135)

Summary:
- ΔE_f: -4.3 eV per formula unit
- Electronic total energy: -36.89 eV/f.u.
- Total magnetic moment: 0.00 μB/f.u.
- Relative energy among the computed polymorphs: 217 meV/atom

=====

No. 7
## La2NdGa2 (PBE)

Data for La2NdGa2 after structural relaxation.

a b c (Å): 4.9181 6.4885 10.1295
angles (deg): 82.97 75.95 67.73
Atoms (fractional coordinates):
La (0.3104, 0.2763, 0.1029)
La (0.4763, 0.3655, 0.6819)
La (0.6896, 0.7237, 0.8971)
La (0.5237, 0.6345, 0.3181)
Nd (0.8052, 0.0391, 0.3505)
Nd (0.1948, 0.9609, 0.6495)
Ga (0.9477, 0.1823, 0.9222)
Ga (0.1254, 0.3285, 0.4207)
Ga (0.0523, 0.8177, 0.0778)
Ga (0.8746, 0.6715, 0.5793)

Summary:
- ΔE_f: -2.3 eV per formula unit
- Electronic total energy: -23.02 eV/f.u.
- Total magnetic moment: 0.00 μB/f.u.

=====

No. 8
## LaNd2Ga2 (PBE)

Data for LaNd2Ga2 after structural relaxation.

a b c (Å): 4.5347 7.9081 7.9081
angles (deg): 90.00 90.00 90.00
Atoms (fractional coordinates):
La (0.0000, 0.0000, 0.0000)
La (0.0000, 0.5000, 0.5000)
Nd (0.5000, 0.1748, 0.6748)
Nd (0.5000, 0.6748, 0.8252)
Nd (0.5000, 0.8252, 0.3252)
Nd (0.5000, 0.3252, 0.1748)
Ga (0.0000, 0.3840, 0.8840)
Ga (0.0000, 0.8840, 0.6160)
Ga (0.0000, 0.6160, 0.1160)
Ga (0.0000, 0.1160, 0.3840)

Summary:
- ΔE_f: -2.4 eV per formula unit
- Electronic total energy: -22.91 eV/f.u.
- Total magnetic moment: 0.00 μB/f.u.
- Relative energy among the computed polymorphs: 0 meV/atom

=====

No. 9
## La2NdGa3 (PBE)

Data for La2NdGa3 after structural relaxation.

a b c (Å): 5.2993 8.3854 7.4923
angles (deg): 90.00 89.99 71.72
Atoms (fractional coordinates):
La (0.0000, 0.0000, 0.0000)
La (0.0000, 0.0000, 0.5000)
La (0.3354, 0.3291, 0.5000)
La (0.6646, 0.6709, 0.5000)
Nd (0.3330, 0.3341, 0.0000)
Nd (0.6670, 0.6659, 0.0000)
Ga (0.8312, 0.3376, 0.7560)
Ga (0.5000, 0.0000, 0.2429)
Ga (0.1688, 0.6624, 0.2440)
Ga (0.8312, 0.3376, 0.2440)
Ga (0.1688, 0.6624, 0.7560)
Ga (0.5000, 0.0000, 0.7571)

Summary:
- ΔE_f: -3.4 eV per formula unit
- Electronic total energy: -27.08 eV/f.u.
- Total magnetic moment: 0.00 μB/f.u.

=====

No. 10
## La8NdGa2 (PBE)

Data for La8NdGa2 after structural relaxation.

a b c (Å): 5.3260 8.5056 9.1641
angles (deg): 112.15 106.89 90.00
Atoms (fractional coordinates):
Nd (0.5000, 0.0000, 0.0000)
Ga (0.2184, 0.6504, 0.4369)
Ga (0.7816, 0.3496, 0.5631)
La (0.6204, 0.4760, 0.2408)
La (0.3124, 0.0463, 0.6248)
La (0.1533, 0.2250, 0.3065)
La (0.0508, 0.7353, 0.1016)
La (0.8467, 0.7750, 0.6935)
La (0.6876, 0.9537, 0.3752)
La (0.3796, 0.5240, 0.7592)
La (0.9492, 0.2647, 0.8984)

Summary:
- ΔE_f: -1.9 eV per formula unit
- Electronic total energy: -52.12 eV/f.u.
- Total magnetic moment: 0.00 μB/f.u.
- Relative energy among the computed polymorphs: 0 meV/atom

=====

No. 11
## La4Nd3Ga4 (PBE)

Data for La4Nd3Ga4 after structural relaxation.

a b c (Å): 3.6802 9.2690 10.7200
angles (deg): 115.62 99.88 90.00
Atoms (fractional coordinates):
La (0.3324, 0.1595, 0.6648)
La (0.6676, 0.4947, 0.3352)
La (0.6676, 0.8405, 0.3352)
La (0.3324, 0.5053, 0.6648)
Nd (0.0925, 0.0925, 0.1851)
Nd (0.9075, 0.9075, 0.8149)
Nd (0.0000, 0.5000, 0.0000)
Ga (0.2781, 0.7781, 0.5562)
Ga (0.7219, 0.2219, 0.4438)
Ga (0.5000, 0.7762, 0.0000)
Ga (0.5000, 0.2238, 0.0000)

Summary:
- ΔE_f: -4.5 eV per formula unit
- Electronic total energy: -50.64 eV/f.u.
- Total magnetic moment: 0.00 μB/f.u.

=====

No. 12
## La3NdGa2 (PBE)

Data for La3NdGa2 after structural relaxation.

a b c (Å): 5.2832 6.7985 9.8542
angles (deg): 90.00 90.00 90.00
Atoms (fractional coordinates):
La (0.0000, 0.4935, 0.9404)
La (0.0000, 0.9935, 0.0596)
La (0.5000, 0.6926, 0.1681)
La (0.5000, 0.1926, 0.8319)
La (0.0000, 0.3073, 0.3327)
La (0.0000, 0.8073, 0.6673)
Nd (0.5000, 0.5050, 0.5593)
Nd (0.5000, 0.0050, 0.4407)
Ga (0.5000, 0.7157, 0.8471)
Ga (0.5000, 0.2157, 0.1529)
Ga (0.0000, 0.2860, 0.6494)
Ga (0.0000, 0.7860, 0.3506)

Summary:
- ΔE_f: -2.5 eV per formula unit
- Electronic total energy: -28.09 eV/f.u.
- Total magnetic moment: 0.00 μB/f.u.
- Relative energy among the computed polymorphs: 0 meV/atom

=====

What is the formula in the tenth record? La8NdGa2

=====

Number 10 is which compound? La8NdGa2